Li2TePO6 | GGA-PBE | optimized geometry

Volume   121.3 Å³/cell
Calculated total energy   -56.9 eV per cell
E_form (uncorrected)   -14.77 eV per formula unit
Theoretical density   3.675 Mg/m³

CIF file:
```
data_Li2TePO6
_cell_length_a 5.0608
_cell_length_b 5.0608
_cell_length_c 4.7364
_cell_angle_alpha 90.00
_cell_angle_beta 90.00
_cell_angle_gamma 90.00
_symmetry_space_group_name_H-M 'P 4 m m'
_symmetry_Int_Tables_number 99
_symmetry_space_group_name_Hall 'P 4 -2'
loop_
_atom_site_label
_atom_site_fract_x
_atom_site_fract_y
_atom_site_fract_z
Li1 0.0000 0.5000 0.0000
Te1 0.0000 0.0000 0.6280
P1 0.5000 0.5000 0.6437
O1 0.0000 0.0000 0.2379
O2 0.2719 0.2719 0.7679
O3 0.5000 0.5000 0.3261
```